The following is a PBE calculation of a relaxed structure of Y12Tm6Th, from Alexandria via LeMat-Bulk.

a = 8.662 Å, b = 8.662 Å, c = 8.662 Å
α = 98.65°, β = 98.65°, γ = 98.65°
Fractional coordinates of all 19 atoms:
1 Y 0.000 0.263 0.737
2 Y 0.000 0.737 0.263
3 Y 0.169 0.592 0.592
4 Y 0.263 0.000 0.737
5 Y 0.263 0.737 0.000
6 Y 0.408 0.408 0.831
7 Y 0.408 0.831 0.408
8 Y 0.592 0.169 0.592
9 Y 0.592 0.592 0.169
10 Y 0.737 0.000 0.263
11 Y 0.737 0.263 0.000
12 Y 0.831 0.408 0.408
13 Tm 0.142 0.142 0.407
14 Tm 0.142 0.407 0.142
15 Tm 0.407 0.142 0.142
16 Tm 0.593 0.858 0.858
17 Tm 0.858 0.593 0.858
18 Tm 0.858 0.858 0.593
19 Th 0.000 0.000 0.000

## Properties
Crystal system ... trigonal
Total energy ... -0.4221 Ry/atom
Symmetry ... No. 166


The following is a PBE calculation of a relaxed structure of Y2TlS4, from Alexandria via LeMat-Bulk.

a = 15.134 Å, b = 4.012 Å, c = 6.992 Å
α = 90.00°, β = 115.07°, γ = 90.00°
Fractional coordinates of all 14 atoms:
1 Y 0.231 0.000 0.221
2 Y 0.269 0.500 0.779
3 Y 0.731 0.500 0.221
4 Y 0.769 0.000 0.779
5 Tl 0.000 0.500 0.500
6 Tl 0.500 0.000 0.500
7 S 0.136 0.500 0.957
8 S 0.151 0.000 0.506
9 S 0.349 0.500 0.494
10 S 0.364 0.000 0.043
11 S 0.636 0.000 0.957
12 S 0.651 0.500 0.506
13 S 0.849 0.000 0.494
14 S 0.864 0.500 0.043

## Properties
Crystal system ... monoclinic
Total energy ... -0.4420 Ry/atom
Symmetry ... No. 12